DFT (PBE-GGA) results for Tb2TiS4 after structural relaxation.

Geometry as CIF:
```
data_Tb2TiS4
_space_group_name_H-M_alt 'C 1 2/m 1'
_space_group_IT_number 12
_cell_length_a 13.414
_cell_length_b 3.832
_cell_length_c 6.956
_cell_angle_alpha 90.00
_cell_angle_beta 119.69
_cell_angle_gamma 90.00
loop_
_space_group_symop_operation_xyz
'x,y,z'
'-x,-y,-z'
'-x,y,-z'
'x,-y,z'
'x+1/2,y+1/2,z'
'-x+1/2,-y+1/2,-z'
'-x+1/2,y+1/2,-z'
'x+1/2,-y+1/2,z'
loop_
_atom_site_label
_atom_site_type_symbol
_atom_site_fract_x
_atom_site_fract_y
_atom_site_fract_z
Tb1 Tb 0.225 0.000 0.216
Ti1 Ti 0.000 0.500 0.500
S1 S 0.110 0.500 0.910
S2 S 0.126 0.000 0.491
```

Output
Uncorrected energy = -6.5619 eV/atom
Volume = 22.186 A^3/atom
Formation energy without anion corrections = -1.75 eV/atom

***

DFT (PBE-GGA) results for Pr5Y3Th2 after structural relaxation.

Geometry as CIF:
```
data_Pr5Y3Th2
_space_group_name_H-M_alt 'C 1 2/c 1'
_space_group_IT_number 15
_cell_length_a 11.126
_cell_length_b 14.759
_cell_length_c 10.122
_cell_angle_alpha 90.00
_cell_angle_beta 123.19
_cell_angle_gamma 90.00
loop_
_space_group_symop_operation_xyz
'x,y,z'
'-x,-y,-z'
'-x,y,-z+1/2'
'x,-y,z+1/2'
'x+1/2,y+1/2,z'
'-x+1/2,-y+1/2,-z'
'-x+1/2,y+1/2,-z+1/2'
'x+1/2,-y+1/2,z+1/2'
loop_
_atom_site_label
_atom_site_type_symbol
_atom_site_fract_x
_atom_site_fract_y
_atom_site_fract_z
Pr1 Pr 0.000 0.014 0.250
Pr2 Pr 0.000 0.223 0.250
Pr3 Pr 0.000 0.476 0.750
Pr4 Pr 0.247 0.372 0.248
Y1 Y 0.000 0.268 0.750
Y2 Y 0.150 0.375 0.554
Th1 Th 0.156 0.125 0.058
```

Output
Uncorrected energy = -5.5994 eV/atom
Volume = 34.772 A^3/atom
Energy of formation = 0.213 eV per atom

***

DFT (PBE-GGA) results for CaInPb after structural relaxation.

Geometry as CIF:
```
data_CaInPb
_space_group_name_H-M_alt 'F -4 3 m'
_space_group_IT_number 216
_space_group_name_Hall 'F -4 2 3'
_cell_length_a 7.370
_cell_length_b 7.370
_cell_length_c 7.370
_cell_angle_alpha 90.00
_cell_angle_beta 90.00
_cell_angle_gamma 90.00
loop_
_atom_site_label
_atom_site_type_symbol
_atom_site_fract_x
_atom_site_fract_y
_atom_site_fract_z
Ca1 Ca 0.000 0.000 0.000
In1 In 0.250 0.250 0.750
Pb1 Pb 0.250 0.250 0.250
```

Output
Uncorrected energy = -2.8839 eV/atom
Volume = 33.361 A^3/atom
Energy of formation = -0.068 eV per atom

***

DFT (PBE-GGA) results for LaPm2Nd5Sm after structural relaxation.

Geometry as CIF:
```
data_LaPm2Nd5Sm
_space_group_name_H-M_alt 'I 4/m c m'
_space_group_IT_number 140
_space_group_name_Hall '-I 4 2c'
_cell_length_a 8.975
_cell_length_b 8.975
_cell_length_c 15.864
_cell_angle_alpha 90.00
_cell_angle_beta 90.00
_cell_angle_gamma 90.00
loop_
_atom_site_label
_atom_site_type_symbol
_atom_site_fract_x
_atom_site_fract_y
_atom_site_fract_z
La1 La 0.000 0.000 0.250
Pm1 Pm 0.117 0.383 0.000
Nd1 Nd 0.000 0.000 0.000
Nd2 Nd 0.206 0.294 0.363
Sm1 Sm 0.000 0.500 0.250
```

Output
Uncorrected energy = -4.5243 eV/atom
Volume = 35.499 A^3/atom
Energy of formation = 0.252 eV per atom

***

DFT (PBE-GGA) results for Ac3Sm2Y after structural relaxation.

Geometry as CIF:
```
data_Ac3Sm2Y
_space_group_name_H-M_alt 'C 1 2/c 1'
_space_group_IT_number 15
_cell_length_a 9.539
_cell_length_b 10.579
_cell_length_c 9.481
_cell_angle_alpha 90.00
_cell_angle_beta 101.04
_cell_angle_gamma 90.00
loop_
_space_group_symop_operation_xyz
'x,y,z'
'-x,-y,-z'
'-x,y,-z+1/2'
'x,-y,z+1/2'
'x+1/2,y+1/2,z'
'-x+1/2,-y+1/2,-z'
'-x+1/2,y+1/2,-z+1/2'
'x+1/2,-y+1/2,z+1/2'
loop_
_atom_site_label
_atom_site_type_symbol
_atom_site_fract_x
_atom_site_fract_y
_atom_site_fract_z
Ac1 Ac 0.000 0.055 0.250
Ac2 Ac 0.216 0.418 0.978
Sm1 Sm 0.134 0.251 0.619
Y1 Y 0.000 0.381 0.250
```

Output
Uncorrected energy = -4.5821 eV/atom
Volume = 39.125 A^3/atom
Energy of formation = 0.123 eV per atom

***

DFT (PBE-GGA) results for TaSbTe2S after structural relaxation.

Geometry as CIF:
```
data_TaSbTe2S
_space_group_name_H-M_alt 'P 4/m m m'
_space_group_IT_number 123
_space_group_name_Hall '-P 4 2'
_cell_length_a 5.262
_cell_length_b 5.262
_cell_length_c 5.445
_cell_angle_alpha 90.00
_cell_angle_beta 90.00
_cell_angle_gamma 90.00
loop_
_atom_site_label
_atom_site_type_symbol
_atom_site_fract_x
_atom_site_fract_y
_atom_site_fract_z
Ta1 Ta 0.000 0.000 0.000
Sb1 Sb 0.000 0.000 0.500
Te1 Te 0.000 0.500 0.000
S1 S 0.500 0.500 0.500
```

Output
Uncorrected energy = -4.7522 eV/atom
Volume = 30.153 A^3/atom
Polymorph energy (0 for the lowest one) = 0.000 eV per atom
Formation energy without anion corrections = 0.53 eV/atom

***

DFT (PBE-GGA) results for Ti3CoRh2 after structural relaxation.

Geometry as CIF:
```
data_Ti3CoRh2
_space_group_name_H-M_alt 'P 4/m m m'
_space_group_IT_number 123
_space_group_name_Hall '-P 4 2'
_cell_length_a 2.973
_cell_length_b 2.973
_cell_length_c 9.764
_cell_angle_alpha 90.00
_cell_angle_beta 90.00
_cell_angle_gamma 90.00
loop_
_atom_site_label
_atom_site_type_symbol
_atom_site_fract_x
_atom_site_fract_y
_atom_site_fract_z
Ti1 Ti 0.000 0.000 0.000
Ti2 Ti 0.000 0.000 0.347
Co1 Co 0.500 0.500 0.500
Rh1 Rh 0.500 0.500 0.176
```

Output
Uncorrected energy = -8.2046 eV/atom
Volume = 14.385 A^3/atom
Energy of formation = -0.622 eV per atom

***

DFT (PBE-GGA) results for Tc2Pb after structural relaxation.

Geometry as CIF:
```
data_Tc2Pb
_space_group_name_H-M_alt 'P -3 m 1'
_space_group_IT_number 164
_space_group_name_Hall '-P 3 2"'
_cell_length_a 3.0053
_cell_length_b 3.0053
_cell_length_c 6.9780
_cell_angle_alpha 90.00
_cell_angle_beta 90.00
_cell_angle_gamma 120.00
loop_
_atom_site_label
_atom_site_type_symbol
_atom_site_fract_x
_atom_site_fract_y
_atom_site_fract_z
Tc1 Tc 0.3333 0.6667 0.3638
Pb1 Pb 0.0000 0.0000 0.0000
```

Output
Uncorrected energy = -7.6077 eV/atom
Volume = 18.193 A^3/atom
Energy of formation = 0.539 eV per atom
Polymorph energy (0 for the lowest one) = 0.176 eV per atom

***

DFT (PBE-GGA) results for LaHf3Zr after structural relaxation.

Geometry as CIF:
```
data_LaHf3Zr
_space_group_name_H-M_alt 'P m -3 m'
_space_group_IT_number 221
_space_group_name_Hall '-P 4 2 3'
_cell_length_a 5.246
_cell_length_b 5.246
_cell_length_c 5.246
_cell_angle_alpha 90.00
_cell_angle_beta 90.00
_cell_angle_gamma 90.00
loop_
_atom_site_label
_atom_site_type_symbol
_atom_site_fract_x
_atom_site_fract_y
_atom_site_fract_z
La1 La 0.000 0.000 0.000
Hf1 Hf 0.000 0.500 0.500
Zr1 Zr 0.500 0.500 0.500
```

Output
Uncorrected energy = -7.8170 eV/atom
Volume = 28.874 A^3/atom
Energy of formation = 0.850 eV per atom
Polymorph energy (0 for the lowest one) = 0.000 eV per atom

***

DFT (PBE-GGA) results for MnZn2GeN4 after structural relaxation.

Geometry as CIF:
```
data_MnZn2GeN4
_space_group_name_H-M_alt 'I -4 2 m'
_space_group_IT_number 121
_space_group_name_Hall 'I -4 2'
_cell_length_a 4.542
_cell_length_b 4.542
_cell_length_c 9.049
_cell_angle_alpha 90.00
_cell_angle_beta 90.00
_cell_angle_gamma 90.00
loop_
_atom_site_label
_atom_site_type_symbol
_atom_site_fract_x
_atom_site_fract_y
_atom_site_fract_z
Mn1 Mn 0.000 0.000 0.000
Zn1 Zn 0.000 0.500 0.250
Ge1 Ge 0.000 0.000 0.500
N1 N 0.250 0.250 0.112
```

Output
Uncorrected energy = -6.2417 eV/atom
Volume = 11.667 A^3/atom
Formation energy without anion corrections = -0.04 eV/atom

***

DFT (PBE-GGA) results for Pr7Nd2Pd2 after structural relaxation.

Geometry as CIF:
```
data_Pr7Nd2Pd2
_space_group_name_H-M_alt 'C 1 2/m 1'
_space_group_IT_number 12
_cell_length_a 11.301
_cell_length_b 10.155
_cell_length_c 6.760
_cell_angle_alpha 90.00
_cell_angle_beta 109.04
_cell_angle_gamma 90.00
loop_
_space_group_symop_operation_xyz
'x,y,z'
'-x,-y,-z'
'-x,y,-z'
'x,-y,z'
'x+1/2,y+1/2,z'
'-x+1/2,-y+1/2,-z'
'-x+1/2,y+1/2,-z'
'x+1/2,-y+1/2,z'
loop_
_atom_site_label
_atom_site_type_symbol
_atom_site_fract_x
_atom_site_fract_y
_atom_site_fract_z
Pr1 Pr 0.000 0.000 0.000
Pr2 Pr 0.119 0.500 0.736
Pr3 Pr 0.174 0.309 0.198
Nd1 Nd 0.000 0.181 0.500
Pd1 Pd 0.184 0.000 0.445
```

Output
Uncorrected energy = -5.0196 eV/atom
Volume = 33.335 A^3/atom
Energy of formation = -0.167 eV per atom

***

DFT (PBE-GGA) results for Si2PAu after structural relaxation.

Geometry as CIF:
```
data_Si2PAu
_space_group_name_H-M_alt 'P m m m'
_space_group_IT_number 47
_cell_length_a 2.711
_cell_length_b 4.836
_cell_length_c 4.934
_cell_angle_alpha 90.00
_cell_angle_beta 90.00
_cell_angle_gamma 90.00
loop_
_space_group_symop_operation_xyz
'x,y,z'
'-x,-y,-z'
'-x,-y,z'
'x,y,-z'
'x,-y,-z'
'-x,y,z'
'-x,y,-z'
'x,-y,z'
loop_
_atom_site_label
_atom_site_type_symbol
_atom_site_fract_x
_atom_site_fract_y
_atom_site_fract_z
Si1 Si 0.000 0.000 0.000
Si2 Si 0.500 0.500 0.000
P1 P 0.000 0.500 0.500
Au1 Au 0.500 0.000 0.500
```

Output
Uncorrected energy = -4.4036 eV/atom
Volume = 16.169 A^3/atom
Formation energy without anion corrections = 0.48 eV/atom

***

DFT (PBE-GGA) results for ZrCr3H after structural relaxation.

Geometry as CIF:
```
data_ZrCr3H
_space_group_name_H-M_alt 'P m -3 m'
_space_group_IT_number 221
_space_group_name_Hall '-P 4 2 3'
_cell_length_a 4.007
_cell_length_b 4.007
_cell_length_c 4.007
_cell_angle_alpha 90.00
_cell_angle_beta 90.00
_cell_angle_gamma 90.00
loop_
_atom_site_label
_atom_site_type_symbol
_atom_site_fract_x
_atom_site_fract_y
_atom_site_fract_z
Zr1 Zr 0.000 0.000 0.000
Cr1 Cr 0.000 0.500 0.500
H1 H 0.500 0.500 0.500
```

Output
Uncorrected energy = -7.8058 eV/atom
Volume = 12.870 A^3/atom
Polymorph energy (0 for the lowest one) = 0.000 eV per atom

***

DFT (PBE-GGA) results for Ac2NiBPt6 after structural relaxation.

Geometry as CIF:
```
data_Ac2NiBPt6
_space_group_name_H-M_alt 'R -3 m'
_space_group_IT_number 166
_space_group_name_Hall '-R 3 2"'
_cell_length_a 5.8703
_cell_length_b 5.8703
_cell_length_c 19.1912
_cell_angle_alpha 90.00
_cell_angle_beta 90.00
_cell_angle_gamma 120.00
loop_
_atom_site_label
_atom_site_type_symbol
_atom_site_fract_x
_atom_site_fract_y
_atom_site_fract_z
Ac1 Ac 0.0000 0.0000 0.2150
Ni1 Ni 0.0000 0.0000 0.5000
B1 B 0.0000 0.0000 0.0000
Pt1 Pt 0.0198 0.5099 0.2728
```

Output
Uncorrected energy = -6.4687 eV/atom
Volume = 19.092 A^3/atom
Energy of formation = -0.777 eV per atom

***

DFT (PBE-GGA) results for ZrIn2 after structural relaxation.

Geometry as CIF:
```
data_ZrIn2
_space_group_name_H-M_alt 'C m c m'
_space_group_IT_number 63
_space_group_name_Hall '-C 2c 2'
_cell_length_a 3.223
_cell_length_b 15.957
_cell_length_c 5.617
_cell_angle_alpha 90.00
_cell_angle_beta 90.00
_cell_angle_gamma 90.00
loop_
_atom_site_label
_atom_site_type_symbol
_atom_site_fract_x
_atom_site_fract_y
_atom_site_fract_z
Zr1 Zr 0.000 0.226 0.250
In1 In 0.000 0.109 0.750
In2 In 0.000 0.438 0.750
```

Output
Uncorrected energy = -4.7090 eV/atom
Volume = 24.075 A^3/atom
Energy of formation = -0.034 eV per atom

***

DFT (PBE-GGA) results for Y3Co2 after structural relaxation.

Geometry as CIF:
```
data_Y3Co2
_space_group_name_H-M_alt 'F d d 2'
_space_group_IT_number 43
_space_group_name_Hall 'F 2 -2d'
_cell_length_a 10.313
_cell_length_b 13.369
_cell_length_c 6.453
_cell_angle_alpha 90.00
_cell_angle_beta 90.00
_cell_angle_gamma 90.00
loop_
_atom_site_label
_atom_site_type_symbol
_atom_site_fract_x
_atom_site_fract_y
_atom_site_fract_z
Y1 Y 0.000 0.000 0.000
Y2 Y 0.048 0.116 0.552
Co1 Co 0.049 0.201 0.952
```

Output
Uncorrected energy = -6.5822 eV/atom
Volume = 22.244 A^3/atom
Energy of formation = 0.139 eV per atom
Polymorph energy (0 for the lowest one) = 0.310 eV per atom

***

DFT (PBE-GGA) results for NdPaHg2 after structural relaxation.

Geometry as CIF:
```
data_NdPaHg2
_space_group_name_H-M_alt 'P 4/m m m'
_space_group_IT_number 123
_space_group_name_Hall '-P 4 2'
_cell_length_a 4.786
_cell_length_b 4.786
_cell_length_c 4.534
_cell_angle_alpha 90.00
_cell_angle_beta 90.00
_cell_angle_gamma 90.00
loop_
_atom_site_label
_atom_site_type_symbol
_atom_site_fract_x
_atom_site_fract_y
_atom_site_fract_z
Nd1 Nd 0.000 0.000 0.000
Pa1 Pa 0.500 0.500 0.000
Hg1 Hg 0.000 0.500 0.500
```

Output
Uncorrected energy = -3.7788 eV/atom
Volume = 25.964 A^3/atom
Energy of formation = -0.062 eV per atom
Polymorph energy (0 for the lowest one) = 0.080 eV per atom

***

DFT (PBE-GGA) results for SrAcEuMg after structural relaxation.

Geometry as CIF:
```
data_SrAcEuMg
_space_group_name_H-M_alt 'F -4 3 m'
_space_group_IT_number 216
_space_group_name_Hall 'F -4 2 3'
_cell_length_a 8.610
_cell_length_b 8.610
_cell_length_c 8.610
_cell_angle_alpha 90.00
_cell_angle_beta 90.00
_cell_angle_gamma 90.00
loop_
_atom_site_label
_atom_site_type_symbol
_atom_site_fract_x
_atom_site_fract_y
_atom_site_fract_z
Sr1 Sr 0.000 0.000 0.000
Ac1 Ac 0.000 0.000 0.500
Eu1 Eu 0.250 0.250 0.750
Mg1 Mg 0.250 0.250 0.250
```

Output
Uncorrected energy = -4.3555 eV/atom
Volume = 39.891 A^3/atom
Energy of formation = 0.059 eV per atom

***

DFT (PBE-GGA) results for ThIn3Pt2 after structural relaxation.

Geometry as CIF:
```
data_ThIn3Pt2
_space_group_name_H-M_alt 'C 1 2/m 1'
_space_group_IT_number 12
_cell_length_a 17.206
_cell_length_b 4.150
_cell_length_c 9.073
_cell_angle_alpha 90.00
_cell_angle_beta 121.53
_cell_angle_gamma 90.00
loop_
_space_group_symop_operation_xyz
'x,y,z'
'-x,-y,-z'
'-x,y,-z'
'x,-y,z'
'x+1/2,y+1/2,z'
'-x+1/2,-y+1/2,-z'
'-x+1/2,y+1/2,-z'
'x+1/2,-y+1/2,z'
loop_
_atom_site_label
_atom_site_type_symbol
_atom_site_fract_x
_atom_site_fract_y
_atom_site_fract_z
Th1 Th 0.127 0.000 0.130
In1 In 0.005 0.000 0.656
In2 In 0.169 0.500 0.476
In3 In 0.171 0.500 0.870
Pt1 Pt 0.001 0.500 0.152
Pt2 Pt 0.221 0.000 0.722
```

Output
Uncorrected energy = -5.3030 eV/atom
Volume = 23.009 A^3/atom
Energy of formation = -0.684 eV per atom